No. 1
The following is a PBE-GGA calculation of a relaxed structure of Ta2HRu, from Alexandria via LeMat-Bulk.

Summary:
calculated volume	13.05	A^3/atom
crystal system	trigonal
space-group type	R-3m, No. 166
energy above the most stable polymorph in this dataset	0.000	eV/atom
Fermi-level density of states	0.77	states/eV per atom

a = 2.9221 Å, b = 2.9221 Å, c = 7.2585 Å
α = 78.39°, β = 78.39°, γ = 60.00°
Last column: nearest neighbours and their distance in Å.
Fractional coordinates of all 4 atoms:
1 Ta 0.2702 0.2702 0.1895  3 H 2.15
2 H 0.0000 0.0000 0.0000  6 Ta 2.15
3 Ru 0.5000 0.5000 0.5000  6 Ta 2.77, 6 Ru 2.92
4 Ta 0.7298 0.7298 0.8105  3 H 2.15



No. 2
The following is a PBE-GGA calculation of a relaxed structure of BaIn4Ag6, from Alexandria via LeMat-Bulk.

Summary:
calculated volume	23.42	A^3/atom
crystal system	hexagonal
space-group type	P-6, No. 174
formation enthalpy at 0 K	-159	meV/atom
Fermi-level density of states	0.23	states/eV per atom

a = 4.7748 Å, b = 7.8938 Å, c = 7.8938 Å
α = 120.00°, β = 90.00°, γ = 90.00°
Last column: nearest neighbours and their distance in Å.
Fractional coordinates of all 11 atoms:
1 Ag 0.5000 0.0509 0.8076  5 In 2.86-3.10, 4 Ag 2.98-3.04
2 Ag 0.0000 0.7375 0.1647  4 Ag 2.91-2.98, 5 In 2.95-3.04
3 Ba 0.0000 0.3333 0.6667  9 Ag 3.62-3.79, 6 In 3.66
4 In 0.5000 0.4647 0.0652  7 Ag 2.86-3.10
5 Ag 0.5000 0.7567 0.9491  5 In 2.86-3.10, 4 Ag 2.98-3.04
6 In 0.5000 0.6005 0.5353  7 Ag 2.86-3.10
7 Ag 0.5000 0.1924 0.2433  5 In 2.86-3.10, 4 Ag 2.98-3.04
8 Ag 0.0000 0.8353 0.5728  4 Ag 2.91-2.98, 5 In 2.95-3.04
9 In 0.5000 0.9348 0.3995  7 Ag 2.86-3.10
10 In 0.0000 0.0000 0.0000  9 Ag 2.95-2.96
11 Ag 0.0000 0.4272 0.2625  4 Ag 2.91-2.98, 5 In 2.95-3.04



Looking at magnetic moment for the records above, in order, we have 0.0, 0.0 μB per formula unit.